[1]
SrZrMo after structural relaxation. Source: Alexandria, functional PBE.

Results
Crystal system: trigonal

Unit cell a=3.4668 b=3.4668 c=7.5545 alpha=90.00 beta=90.00 gamma=120.00
Space group P3m1 (No. 156)
Asymmetric unit:
Sr: 0.0000 0.0000 0.0000 [1 per cell]
Zr: 0.6667 0.3333 0.4259 [1 per cell]
Mo: 0.3333 0.6667 0.6621 [1 per cell]

---

[2]
Sr2ZrMo after structural relaxation. Source: Alexandria, functional PBE.

Results
Crystal system: tetragonal

Unit cell a=4.397 b=4.397 c=11.093 alpha=90.00 beta=90.00 gamma=90.00
Space group I4/mmm (No. 139)
Asymmetric unit:
Sr: 0.000 0.500 0.250 [4 per cell]
Zr: 0.000 0.000 0.000 [2 per cell]
Mo: 0.000 0.000 0.500 [2 per cell]

---

[3]
SrZrMo2 after structural relaxation. Source: Alexandria, functional PBE.

Results
Crystal system: tetragonal

Unit cell a=4.909 b=4.909 c=19.131 alpha=90.00 beta=90.00 gamma=90.00
Space group I-42d (No. 122)
Asymmetric unit:
Sr: 0.000 0.000 0.000 [4 per cell]
Zr: 0.000 0.000 0.500 [4 per cell]
Mo: 0.030 0.750 0.625 [8 per cell]

---

[4]
SrZrMo2 after structural relaxation. Source: Alexandria, functional PBE.

Results
Crystal system: monoclinic

Unit cell a=3.174 b=4.195 c=7.458 alpha=90.00 beta=100.31 gamma=90.00
Space group Pm (No. 6)
Asymmetric unit:
Sr: 0.000 0.000 0.000 [1 per cell]
Zr: 0.646 0.500 0.369 [1 per cell]
Mo: 0.104 0.000 0.560 [1 per cell]
Mo: 0.466 0.500 0.695 [1 per cell]

---

[5]
Sr2ZrMo after structural relaxation. Source: Alexandria, functional PBE.

Results
Crystal system: monoclinic

Unit cell a=3.376 b=4.494 c=8.728 alpha=90.00 beta=99.22 gamma=90.00
Space group Pm (No. 6)
Asymmetric unit:
Sr: 0.000 0.000 0.000 [1 per cell]
Sr: 0.308 0.500 0.619 [1 per cell]
Zr: 0.737 0.500 0.268 [1 per cell]
Mo: 0.520 0.000 0.357 [1 per cell]

---

[6]
Sr2ZrMo after structural relaxation. Source: Alexandria, functional PBE.

Results
Crystal system: tetragonal

Unit cell a=3.668 b=3.668 c=9.421 alpha=90.00 beta=90.00 gamma=90.00
Space group P4mm (No. 99)
Asymmetric unit:
Sr: 0.000 0.000 0.000 [1 per cell]
Sr: 0.500 0.500 0.377 [1 per cell]
Zr: 0.000 0.000 0.645 [1 per cell]
Mo: 0.500 0.500 0.753 [1 per cell]

---

The following energy above the most stable polymorph in this dataset values (in eV/atom) correspond, in order, to the records above: 0.434, 0.572, 0.833, 0.125, 0.209, 0.000.
The following E values (in eV/atom) correspond, in order, to the records above: -6.313, -4.719, -6.741, -7.449, -5.081, -5.290.
The following formation enthalpy at 0 K values (in kcal/mol of atoms) correspond, in order, to the records above: 16.32, 22.30, 28.41, 12.08, 13.94, 9.12.